[1]
The following is a GGA-PBE calculation of a relaxed structure of Pm6Pr3Dy2Ho, from Alexandria via LeMat-Bulk.

Summary:
SG = C2/m (12)
Magnetic moment = 0.0 μB/cell
ΔE_f = 17 meV/atom

The structure in CIF format:
```
data_Pm6Pr3Dy2Ho
_space_group_name_H-M_alt 'P 1'
_space_group_IT_number 1
_cell_length_a 6.310
_cell_length_b 6.310
_cell_length_c 12.049
_cell_angle_alpha 95.02
_cell_angle_beta 95.02
_cell_angle_gamma 120.01
loop_
_space_group_symop_operation_xyz
'x,y,z'
loop_
_atom_site_label
_atom_site_type_symbol
_atom_site_fract_x
_atom_site_fract_y
_atom_site_fract_z
_atom_site_occupancy
Pm1 Pm 0.749 0.749 0.245 1
Pm2 Pm 0.082 0.415 0.245 1
Pm3 Pm 0.251 0.251 0.755 1
Pm4 Pm 0.918 0.585 0.755 1
Pm5 Pm 0.585 0.918 0.755 1
Pm6 Pm 0.415 0.082 0.245 1
Pr1 Pr 0.167 0.833 0.500 1
Pr2 Pr 0.500 0.500 0.500 1
Pr3 Pr 0.833 0.167 0.500 1
Ho1 Ho 0.000 0.000 0.000 1
Dy1 Dy 0.333 0.667 0.000 1
Dy2 Dy 0.667 0.333 0.000 1
```



[2]
The following is a GGA-PBE calculation of a relaxed structure of RbZrInCl6, from Alexandria via LeMat-Bulk.

Summary:
SG = P-31c (163)
Magnetic moment = 0.0 μB/cell
E_form (uncorrected) = -1.6686 eV/atom

The structure in CIF format:
```
data_RbZrInCl6
_space_group_name_H-M_alt 'P 1'
_space_group_IT_number 1
_cell_length_a 7.634
_cell_length_b 7.634
_cell_length_c 13.044
_cell_angle_alpha 90.00
_cell_angle_beta 90.00
_cell_angle_gamma 120.00
loop_
_space_group_symop_operation_xyz
'x,y,z'
loop_
_atom_site_label
_atom_site_type_symbol
_atom_site_fract_x
_atom_site_fract_y
_atom_site_fract_z
_atom_site_occupancy
Zr1 Zr 0.667 0.333 0.250 1
Zr2 Zr 0.333 0.667 0.750 1
Cl1 Cl 0.064 0.663 0.860 1
Cl2 Cl 0.600 0.663 0.640 1
Cl3 Cl 0.936 0.600 0.360 1
Cl4 Cl 0.600 0.936 0.860 1
Cl5 Cl 0.064 0.400 0.640 1
Cl6 Cl 0.337 0.936 0.640 1
Cl7 Cl 0.400 0.337 0.360 1
Cl8 Cl 0.936 0.337 0.140 1
Cl9 Cl 0.663 0.600 0.140 1
Cl10 Cl 0.400 0.064 0.140 1
Cl11 Cl 0.337 0.400 0.860 1
Cl12 Cl 0.663 0.064 0.360 1
Rb1 Rb 0.000 0.000 0.500 1
Rb2 Rb 0.000 0.000 0.000 1
In1 In 0.667 0.333 0.750 1
In2 In 0.333 0.667 0.250 1
```



[3]
The following is a GGA-PBE calculation of a relaxed structure of Li5Bi4Pd, from Alexandria via LeMat-Bulk.

Summary:
SG = P4/mmm (123)
Magnetic moment = 0.0 μB/cell
ΔE_f = -392 meV/atom

The structure in CIF format:
```
data_Li5Bi4Pd
_space_group_name_H-M_alt 'P 1'
_space_group_IT_number 1
_cell_length_a 3.448
_cell_length_b 3.448
_cell_length_c 18.130
_cell_angle_alpha 90.00
_cell_angle_beta 90.00
_cell_angle_gamma 90.00
loop_
_space_group_symop_operation_xyz
'x,y,z'
loop_
_atom_site_label
_atom_site_type_symbol
_atom_site_fract_x
_atom_site_fract_y
_atom_site_fract_z
_atom_site_occupancy
Li1 Li 0.500 0.500 0.500 1
Li2 Li 0.500 0.500 0.931 1
Li3 Li 0.500 0.500 0.069 1
Li4 Li 0.500 0.500 0.725 1
Li5 Li 0.500 0.500 0.275 1
Bi1 Bi 0.000 0.000 0.385 1
Bi2 Bi 0.000 0.000 0.615 1
Bi3 Bi 0.000 0.000 0.839 1
Bi4 Bi 0.000 0.000 0.161 1
Pd1 Pd 0.000 0.000 0.000 1
```



[4]
The following is a GGA-PBE calculation of a relaxed structure of Ce2NdNb, from Alexandria via LeMat-Bulk.

Summary:
SG = R-3m (166)
Magnetic moment = 0.0 μB/cell
ΔE_f = 469 meV/atom

The structure in CIF format:
```
data_Ce2NdNb
_space_group_name_H-M_alt 'P 1'
_space_group_IT_number 1
_cell_length_a 3.197
_cell_length_b 3.197
_cell_length_c 11.989
_cell_angle_alpha 82.34
_cell_angle_beta 82.34
_cell_angle_gamma 60.00
loop_
_space_group_symop_operation_xyz
'x,y,z'
loop_
_atom_site_label
_atom_site_type_symbol
_atom_site_fract_x
_atom_site_fract_y
_atom_site_fract_z
_atom_site_occupancy
Ce1 Ce 0.078 0.078 0.766 1
Ce2 Ce 0.922 0.922 0.234 1
Nb1 Nb 0.000 0.000 0.000 1
Nd1 Nd 0.500 0.500 0.500 1
```



[5]
The following is a GGA-PBE calculation of a relaxed structure of Li3Dy4PuSe8, from Alexandria via LeMat-Bulk.

Summary:
SG = R-3m (166)
Magnetic moment = 6.2 μB/cell
E_form (uncorrected) = -1.6751 eV/atom

The structure in CIF format:
```
data_Li3Dy4PuSe8
_space_group_name_H-M_alt 'P 1'
_space_group_IT_number 1
_cell_length_a 8.132
_cell_length_b 8.128
_cell_length_c 8.133
_cell_angle_alpha 120.02
_cell_angle_beta 120.00
_cell_angle_gamma 90.00
loop_
_space_group_symop_operation_xyz
'x,y,z'
loop_
_atom_site_label
_atom_site_type_symbol
_atom_site_fract_x
_atom_site_fract_y
_atom_site_fract_z
_atom_site_occupancy
Se1 Se 0.251 0.252 0.501 1
Se2 Se 0.252 0.748 0.996 1
Se3 Se 0.748 0.252 0.495 1
Se4 Se 0.252 0.748 0.505 1
Se5 Se 0.256 0.252 0.004 1
Se6 Se 0.749 0.748 0.499 1
Se7 Se 0.748 0.252 0.004 1
Se8 Se 0.744 0.748 0.996 1
Dy1 Dy 0.000 0.000 0.000 1
Dy2 Dy 0.500 0.000 0.500 1
Dy3 Dy 0.000 0.000 0.500 1
Dy4 Dy 0.500 0.000 0.000 1
Li1 Li 0.000 0.500 0.500 1
Li2 Li 0.500 0.500 0.500 1
Li3 Li 0.500 0.500 0.000 1
Pu1 Pu 0.000 0.500 0.000 1
```



[6]
The following is a GGA-PBE calculation of a relaxed structure of Zr8Te2Pb, from Alexandria via LeMat-Bulk.

Summary:
SG = C2/m (12)
Magnetic moment = 0.0 μB/cell
E_form (uncorrected) = -0.2097 eV/atom

The structure in CIF format:
```
data_Zr8Te2Pb
_space_group_name_H-M_alt 'P 1'
_space_group_IT_number 1
_cell_length_a 5.432
_cell_length_b 7.537
_cell_length_c 7.537
_cell_angle_alpha 114.48
_cell_angle_beta 100.25
_cell_angle_gamma 100.25
loop_
_space_group_symop_operation_xyz
'x,y,z'
loop_
_atom_site_label
_atom_site_type_symbol
_atom_site_fract_x
_atom_site_fract_y
_atom_site_fract_z
_atom_site_occupancy
Zr1 Zr 0.879 0.683 0.914 1
Zr2 Zr 0.500 0.242 0.758 1
Zr3 Zr 0.121 0.086 0.317 1
Zr4 Zr 0.329 0.604 0.604 1
Zr5 Zr 0.671 0.396 0.396 1
Zr6 Zr 0.879 0.914 0.683 1
Zr7 Zr 0.500 0.758 0.242 1
Zr8 Zr 0.121 0.317 0.086 1
Pb1 Pb 0.500 0.000 0.000 1
Te1 Te 0.000 0.688 0.312 1
Te2 Te 0.000 0.312 0.688 1
```



[7]
The following is a GGA-PBE calculation of a relaxed structure of Nd4Ho6Sc, from Alexandria via LeMat-Bulk.

Summary:
SG = Cmcm (63)
Magnetic moment = 0.0 μB/cell
ΔE_f = 133 meV/atom

The structure in CIF format:
```
data_Nd4Ho6Sc
_space_group_name_H-M_alt 'P 1'
_space_group_IT_number 1
_cell_length_a 5.694
_cell_length_b 5.587
_cell_length_c 25.769
_cell_angle_alpha 90.00
_cell_angle_beta 90.00
_cell_angle_gamma 120.63
loop_
_space_group_symop_operation_xyz
'x,y,z'
loop_
_atom_site_label
_atom_site_type_symbol
_atom_site_fract_x
_atom_site_fract_y
_atom_site_fract_z
_atom_site_occupancy
Nd1 Nd 0.471 0.942 0.123 1
Nd2 Nd 0.844 0.689 0.547 1
Nd3 Nd 0.156 0.311 0.047 1
Nd4 Nd 0.529 0.058 0.623 1
Nd5 Nd 0.471 0.942 0.377 1
Nd6 Nd 0.844 0.689 0.953 1
Nd7 Nd 0.529 0.058 0.877 1
Nd8 Nd 0.156 0.311 0.453 1
Ho1 Ho 0.144 0.289 0.315 1
Ho2 Ho 0.856 0.711 0.685 1
Ho3 Ho 0.190 0.380 0.611 1
Ho4 Ho 0.481 0.962 0.250 1
Ho5 Ho 0.810 0.620 0.389 1
Ho6 Ho 0.519 0.038 0.750 1
Ho7 Ho 0.500 0.000 0.500 1
Ho8 Ho 0.856 0.711 0.815 1
Ho9 Ho 0.144 0.289 0.185 1
Ho10 Ho 0.190 0.380 0.889 1
Ho11 Ho 0.500 0.000 0.000 1
Ho12 Ho 0.810 0.620 0.111 1
Sc1 Sc 0.185 0.370 0.750 1
Sc2 Sc 0.815 0.630 0.250 1
```



[8]
The following is a GGA-PBE calculation of a relaxed structure of LaCd3O, from Alexandria via LeMat-Bulk.

Summary:
SG = Pm-3m (221)
Magnetic moment = 0.4 μB/cell
Energy relative to the lowest polymorph listed for this composition = 1244 meV per atom
E_form (uncorrected) = 1.1216 eV/atom

The structure in CIF format:
```
data_LaCd3O
_space_group_name_H-M_alt 'P 1'
_space_group_IT_number 1
_cell_length_a 6.366
_cell_length_b 6.366
_cell_length_c 6.366
_cell_angle_alpha 90.00
_cell_angle_beta 90.00
_cell_angle_gamma 90.00
loop_
_space_group_symop_operation_xyz
'x,y,z'
loop_
_atom_site_label
_atom_site_type_symbol
_atom_site_fract_x
_atom_site_fract_y
_atom_site_fract_z
_atom_site_occupancy
La1 La 0.000 0.000 0.000 1
Cd1 Cd 0.000 0.500 0.000 1
Cd2 Cd 0.500 0.000 0.000 1
Cd3 Cd 0.000 0.000 0.500 1
O1 O 0.500 0.500 0.500 1
```



[9]
The following is a GGA-PBE calculation of a relaxed structure of Nd8InRh2, from Alexandria via LeMat-Bulk.

Summary:
SG = C2/m (12)
Magnetic moment = 0.0 μB/cell
ΔE_f = -301 meV/atom

The structure in CIF format:
```
data_Nd8InRh2
_space_group_name_H-M_alt 'P 1'
_space_group_IT_number 1
_cell_length_a 5.630
_cell_length_b 8.262
_cell_length_c 8.262
_cell_angle_alpha 115.41
_cell_angle_beta 97.73
_cell_angle_gamma 97.73
loop_
_space_group_symop_operation_xyz
'x,y,z'
loop_
_atom_site_label
_atom_site_type_symbol
_atom_site_fract_x
_atom_site_fract_y
_atom_site_fract_z
_atom_site_occupancy
Rh1 Rh 0.000 0.295 0.705 1
Rh2 Rh 0.000 0.705 0.295 1
Nd1 Nd 0.939 0.920 0.671 1
Nd2 Nd 0.061 0.329 0.080 1
Nd3 Nd 0.693 0.395 0.395 1
Nd4 Nd 0.307 0.605 0.605 1
Nd5 Nd 0.500 0.753 0.247 1
Nd6 Nd 0.500 0.247 0.753 1
Nd7 Nd 0.061 0.080 0.329 1
Nd8 Nd 0.939 0.671 0.920 1
In1 In 0.500 0.000 0.000 1
```



[10]
The following is a GGA-PBE calculation of a relaxed structure of CuSb, from Alexandria via LeMat-Bulk.

Summary:
SG = P-1 (2)
Magnetic moment = 0.0 μB/cell
E_form (uncorrected) = 0.1077 eV/atom

The structure in CIF format:
```
data_CuSb
_space_group_name_H-M_alt 'P 1'
_space_group_IT_number 1
_cell_length_a 2.995
_cell_length_b 3.810
_cell_length_c 7.292
_cell_angle_alpha 88.94
_cell_angle_beta 78.44
_cell_angle_gamma 84.30
loop_
_space_group_symop_operation_xyz
'x,y,z'
loop_
_atom_site_label
_atom_site_type_symbol
_atom_site_fract_x
_atom_site_fract_y
_atom_site_fract_z
_atom_site_occupancy
Sb1 Sb 0.398 0.751 0.205 1
Sb2 Sb 0.602 0.249 0.795 1
Cu1 Cu 0.792 0.250 0.414 1
Cu2 Cu 0.208 0.750 0.586 1
```



[11]
The following is a GGA-PBE calculation of a relaxed structure of Gd2ScAg, from Alexandria via LeMat-Bulk.

Summary:
SG = P4/mmm (123)
Magnetic moment = 15.0 μB/cell
ΔE_f = -51 meV/atom
Energy relative to the lowest polymorph listed for this composition = 56 meV per atom

The structure in CIF format:
```
data_Gd2ScAg
_space_group_name_H-M_alt 'P 1'
_space_group_IT_number 1
_cell_length_a 3.656
_cell_length_b 5.351
_cell_length_c 5.351
_cell_angle_alpha 90.00
_cell_angle_beta 90.00
_cell_angle_gamma 90.00
loop_
_space_group_symop_operation_xyz
'x,y,z'
loop_
_atom_site_label
_atom_site_type_symbol
_atom_site_fract_x
_atom_site_fract_y
_atom_site_fract_z
_atom_site_occupancy
Gd1 Gd 0.000 0.500 0.000 1
Gd2 Gd 0.000 0.000 0.500 1
Ag1 Ag 0.500 0.000 0.000 1
Sc1 Sc 0.500 0.500 0.500 1
```



[12]
The following is a GGA-PBE calculation of a relaxed structure of HoSiAu, from Alexandria via LeMat-Bulk.

Summary:
SG = P2_1/m (11)
Magnetic moment = 0.0 μB/cell
E_form (uncorrected) = -0.5711 eV/atom

The structure in CIF format:
```
data_HoSiAu
_space_group_name_H-M_alt 'P 1'
_space_group_IT_number 1
_cell_length_a 4.294
_cell_length_b 4.048
_cell_length_c 7.274
_cell_angle_alpha 90.00
_cell_angle_beta 94.74
_cell_angle_gamma 90.00
loop_
_space_group_symop_operation_xyz
'x,y,z'
loop_
_atom_site_label
_atom_site_type_symbol
_atom_site_fract_x
_atom_site_fract_y
_atom_site_fract_z
_atom_site_occupancy
Ho1 Ho 0.730 0.250 0.834 1
Ho2 Ho 0.270 0.750 0.166 1
Si1 Si 0.321 0.250 0.491 1
Si2 Si 0.679 0.750 0.509 1
Au1 Au 0.189 0.750 0.749 1
Au2 Au 0.811 0.250 0.251 1
```